# Dy4HgPdRh2, relaxed, DFT GGA-PBE
data_Dy4HgPdRh2
_cell_length_a 4.9678
_cell_length_b 4.9678
_cell_length_c 24.5291
_cell_angle_alpha 90.00
_cell_angle_beta 90.00
_cell_angle_gamma 120.00
_symmetry_space_group_name_H-M 'R -3 m'
_symmetry_Int_Tables_number 166
_symmetry_space_group_name_Hall '-R 3 2"'
loop_
_atom_site_label
_atom_site_type_symbol
_atom_site_fract_x
_atom_site_fract_y
_atom_site_fract_z
Dy1 Dy 0.0000 0.0000 0.1202
Dy2 Dy 0.0000 0.0000 0.3717
Hg1 Hg 0.0000 0.0000 0.5000
Pd1 Pd 0.0000 0.0000 0.0000
Rh1 Rh 0.0000 0.0000 0.2517
# VASP energy (eV per atom): -5.575
# Formation energy from the elements (eV per formula unit): -6.00
# Size of the total moment (μB/f.u.): 0.00

# Dy4HgPdRu2, relaxed, DFT GGA-PBE
data_Dy4HgPdRu2
_cell_length_a 4.9475
_cell_length_b 4.9475
_cell_length_c 24.2961
_cell_angle_alpha 90.00
_cell_angle_beta 90.00
_cell_angle_gamma 120.00
_symmetry_space_group_name_H-M 'R -3 m'
_symmetry_Int_Tables_number 166
_symmetry_space_group_name_Hall '-R 3 2"'
loop_
_atom_site_label
_atom_site_type_symbol
_atom_site_fract_x
_atom_site_fract_y
_atom_site_fract_z
Dy1 Dy 0.0000 0.0000 0.1211
Dy2 Dy 0.0000 0.0000 0.3720
Hg1 Hg 0.0000 0.0000 0.5000
Pd1 Pd 0.0000 0.0000 0.0000
Ru1 Ru 0.0000 0.0000 0.2502
# VASP energy (eV per atom): -5.814
# Formation energy from the elements (eV per formula unit): -4.06
# Size of the total moment (μB/f.u.): 0.00

# DyScHgPd, relaxed, DFT GGA-PBE
data_DyScHgPd
_cell_length_a 7.046
_cell_length_b 7.046
_cell_length_c 7.046
_cell_angle_alpha 90.00
_cell_angle_beta 90.00
_cell_angle_gamma 90.00
_symmetry_space_group_name_H-M 'F -4 3 m'
_symmetry_Int_Tables_number 216
_symmetry_space_group_name_Hall 'F -4 2 3'
loop_
_atom_site_label
_atom_site_type_symbol
_atom_site_fract_x
_atom_site_fract_y
_atom_site_fract_z
Dy1 Dy 0.000 0.000 0.000
Sc1 Sc 0.000 0.000 0.500
Hg1 Hg 0.250 0.250 0.750
Pd1 Pd 0.250 0.250 0.250
# VASP energy (eV per atom): -4.724
# Formation energy from the elements (eV per formula unit): -2.47
# Size of the total moment (μB/f.u.): 0.00
# Excess energy over the best structure of this formula in the dataset (kJ per mole of atoms): 4.8

# DyScHgPd, relaxed, DFT GGA-PBE
data_DyScHgPd
_cell_length_a 3.417
_cell_length_b 3.417
_cell_length_c 7.429
_cell_angle_alpha 90.00
_cell_angle_beta 90.00
_cell_angle_gamma 90.00
_symmetry_space_group_name_H-M 'P 4 m m'
_symmetry_Int_Tables_number 99
loop_
_symmetry_equiv_pos_as_xyz
'x,y,z'
'-y,x,z'
'-x,-y,z'
'y,-x,z'
'-x,y,z'
'y,x,z'
'x,-y,z'
'-y,-x,z'
loop_
_atom_site_label
_atom_site_type_symbol
_atom_site_fract_x
_atom_site_fract_y
_atom_site_fract_z
Dy1 Dy 0.000 0.000 0.000
Sc1 Sc 0.000 0.000 0.453
Hg1 Hg 0.500 0.500 0.706
Pd1 Pd 0.500 0.500 0.256
# VASP energy (eV per atom): -4.773
# Formation energy from the elements (eV per formula unit): -2.66
# Size of the total moment (μB/f.u.): 0.00
# Excess energy over the best structure of this formula in the dataset (kJ per mole of atoms): 0.0

# SmDyHgPd, relaxed, DFT GGA-PBE
data_SmDyHgPd
_cell_length_a 7.305
_cell_length_b 7.305
_cell_length_c 7.305
_cell_angle_alpha 90.00
_cell_angle_beta 90.00
_cell_angle_gamma 90.00
_symmetry_space_group_name_H-M 'F -4 3 m'
_symmetry_Int_Tables_number 216
_symmetry_space_group_name_Hall 'F -4 2 3'
loop_
_atom_site_label
_atom_site_type_symbol
_atom_site_fract_x
_atom_site_fract_y
_atom_site_fract_z
Sm1 Sm 0.000 0.000 0.000
Dy1 Dy 0.000 0.000 0.500
Hg1 Hg 0.250 0.250 0.250
Pd1 Pd 0.250 0.250 0.750
# VASP energy (eV per atom): -4.323
# Formation energy from the elements (eV per formula unit): -2.47
# Size of the total moment (μB/f.u.): 0.00
# Excess energy over the best structure of this formula in the dataset (kJ per mole of atoms): 3.9

# SmDyHgPd, relaxed, DFT GGA-PBE
data_SmDyHgPd
_cell_length_a 3.609
_cell_length_b 3.609
_cell_length_c 7.476
_cell_angle_alpha 90.00
_cell_angle_beta 90.00
_cell_angle_gamma 90.00
_symmetry_space_group_name_H-M 'P 4 m m'
_symmetry_Int_Tables_number 99
loop_
_symmetry_equiv_pos_as_xyz
'x,y,z'
'-y,x,z'
'-x,-y,z'
'y,-x,z'
'-x,y,z'
'y,x,z'
'x,-y,z'
'-y,-x,z'
loop_
_atom_site_label
_atom_site_type_symbol
_atom_site_fract_x
_atom_site_fract_y
_atom_site_fract_z
Sm1 Sm 0.000 0.000 0.000
Dy1 Dy 0.000 0.000 0.459
Hg1 Hg 0.500 0.500 0.720
Pd1 Pd 0.500 0.500 0.245
# VASP energy (eV per atom): -4.363
# Formation energy from the elements (eV per formula unit): -2.64
# Size of the total moment (μB/f.u.): 0.00
# Excess energy over the best structure of this formula in the dataset (kJ per mole of atoms): 0.0

# DySnHgPd, relaxed, DFT GGA-PBE
data_DySnHgPd
_cell_length_a 7.053
_cell_length_b 7.053
_cell_length_c 7.053
_cell_angle_alpha 90.00
_cell_angle_beta 90.00
_cell_angle_gamma 90.00
_symmetry_space_group_name_H-M 'F -4 3 m'
_symmetry_Int_Tables_number 216
_symmetry_space_group_name_Hall 'F -4 2 3'
loop_
_atom_site_label
_atom_site_type_symbol
_atom_site_fract_x
_atom_site_fract_y
_atom_site_fract_z
Dy1 Dy 0.000 0.000 0.000
Sn1 Sn 0.000 0.000 0.500
Hg1 Hg 0.250 0.250 0.250
Pd1 Pd 0.250 0.250 0.750
# VASP energy (eV per atom): -4.084
# Formation energy from the elements (eV per formula unit): -2.23
# Size of the total moment (μB/f.u.): 0.00

# TbDyHgPd, relaxed, DFT GGA-PBE
data_TbDyHgPd
_cell_length_a 3.594
_cell_length_b 3.594
_cell_length_c 7.366
_cell_angle_alpha 90.00
_cell_angle_beta 90.00
_cell_angle_gamma 90.00
_symmetry_space_group_name_H-M 'P 4 m m'
_symmetry_Int_Tables_number 99
loop_
_symmetry_equiv_pos_as_xyz
'x,y,z'
'-y,x,z'
'-x,-y,z'
'y,-x,z'
'-x,y,z'
'y,x,z'
'x,-y,z'
'-y,-x,z'
loop_
_atom_site_label
_atom_site_type_symbol
_atom_site_fract_x
_atom_site_fract_y
_atom_site_fract_z
Tb1 Tb 0.000 0.000 0.000
Dy1 Dy 0.000 0.000 0.459
Hg1 Hg 0.500 0.500 0.728
Pd1 Pd 0.500 0.500 0.233
# VASP energy (eV per atom): -4.364
# Formation energy from the elements (eV per formula unit): -2.73
# Size of the total moment (μB/f.u.): 0.00
# Excess energy over the best structure of this formula in the dataset (kJ per mole of atoms): 0.0

# TbDyHgPd, relaxed, DFT GGA-PBE
data_TbDyHgPd
_cell_length_a 7.245
_cell_length_b 7.245
_cell_length_c 7.245
_cell_angle_alpha 90.00
_cell_angle_beta 90.00
_cell_angle_gamma 90.00
_symmetry_space_group_name_H-M 'F -4 3 m'
_symmetry_Int_Tables_number 216
_symmetry_space_group_name_Hall 'F -4 2 3'
loop_
_atom_site_label
_atom_site_type_symbol
_atom_site_fract_x
_atom_site_fract_y
_atom_site_fract_z
Tb1 Tb 0.000 0.000 0.000
Dy1 Dy 0.000 0.000 0.500
Hg1 Hg 0.250 0.250 0.250
Pd1 Pd 0.250 0.250 0.750
# VASP energy (eV per atom): -4.326
# Formation energy from the elements (eV per formula unit): -2.58
# Size of the total moment (μB/f.u.): 0.00
# Excess energy over the best structure of this formula in the dataset (kJ per mole of atoms): 3.6

# Dy4Tl2HgPd, relaxed, DFT GGA-PBE
data_Dy4Tl2HgPd
_cell_length_a 5.2635
_cell_length_b 5.2635
_cell_length_c 25.5722
_cell_angle_alpha 90.00
_cell_angle_beta 90.00
_cell_angle_gamma 120.00
_symmetry_space_group_name_H-M 'R -3 m'
_symmetry_Int_Tables_number 166
_symmetry_space_group_name_Hall '-R 3 2"'
loop_
_atom_site_label
_atom_site_type_symbol
_atom_site_fract_x
_atom_site_fract_y
_atom_site_fract_z
Dy1 Dy 0.0000 0.0000 0.1191
Dy2 Dy 0.0000 0.0000 0.3707
Tl1 Tl 0.0000 0.0000 0.2465
Hg1 Hg 0.0000 0.0000 0.5000
Pd1 Pd 0.0000 0.0000 0.0000
# VASP energy (eV per atom): -4.069
# Formation energy from the elements (eV per formula unit): -3.92
# Size of the total moment (μB/f.u.): 0.00

# DyTmHgPd, relaxed, DFT GGA-PBE
data_DyTmHgPd
_cell_length_a 3.554
_cell_length_b 3.554
_cell_length_c 7.341
_cell_angle_alpha 90.00
_cell_angle_beta 90.00
_cell_angle_gamma 90.00
_symmetry_space_group_name_H-M 'P 4 m m'
_symmetry_Int_Tables_number 99
loop_
_symmetry_equiv_pos_as_xyz
'x,y,z'
'-y,x,z'
'-x,-y,z'
'y,-x,z'
'-x,y,z'
'y,x,z'
'x,-y,z'
'-y,-x,z'
loop_
_atom_site_label
_atom_site_type_symbol
_atom_site_fract_x
_atom_site_fract_y
_atom_site_fract_z
Dy1 Dy 0.000 0.000 0.000
Tm1 Tm 0.000 0.000 0.458
Hg1 Hg 0.500 0.500 0.724
Pd1 Pd 0.500 0.500 0.237
# VASP energy (eV per atom): -4.342
# Formation energy from the elements (eV per formula unit): -2.80
# Size of the total moment (μB/f.u.): 0.00
# Excess energy over the best structure of this formula in the dataset (kJ per mole of atoms): 0.0

# DyTmHgPd, relaxed, DFT GGA-PBE
data_DyTmHgPd
_cell_length_a 7.185
_cell_length_b 7.185
_cell_length_c 7.185
_cell_angle_alpha 90.00
_cell_angle_beta 90.00
_cell_angle_gamma 90.00
_symmetry_space_group_name_H-M 'F -4 3 m'
_symmetry_Int_Tables_number 216
_symmetry_space_group_name_Hall 'F -4 2 3'
loop_
_atom_site_label
_atom_site_type_symbol
_atom_site_fract_x
_atom_site_fract_y
_atom_site_fract_z
Dy1 Dy 0.000 0.000 0.000
Tm1 Tm 0.000 0.000 0.500
Hg1 Hg 0.250 0.250 0.250
Pd1 Pd 0.250 0.250 0.750
# VASP energy (eV per atom): -4.303
# Formation energy from the elements (eV per formula unit): -2.64
# Size of the total moment (μB/f.u.): 0.00
# Excess energy over the best structure of this formula in the dataset (kJ per mole of atoms): 3.7

# DyYHgPd, relaxed, DFT GGA-PBE
data_DyYHgPd
_cell_length_a 3.588
_cell_length_b 3.588
_cell_length_c 7.370
_cell_angle_alpha 90.00
_cell_angle_beta 90.00
_cell_angle_gamma 90.00
_symmetry_space_group_name_H-M 'P 4 m m'
_symmetry_Int_Tables_number 99
loop_
_symmetry_equiv_pos_as_xyz
'x,y,z'
'-y,x,z'
'-x,-y,z'
'y,-x,z'
'-x,y,z'
'y,x,z'
'x,-y,z'
'-y,-x,z'
loop_
_atom_site_label
_atom_site_type_symbol
_atom_site_fract_x
_atom_site_fract_y
_atom_site_fract_z
Dy1 Dy 0.000 0.000 0.000
Y1 Y 0.000 0.000 0.460
Hg1 Hg 0.500 0.500 0.731
Pd1 Pd 0.500 0.500 0.225
# VASP energy (eV per atom): -4.828
# Formation energy from the elements (eV per formula unit): -2.75
# Size of the total moment (μB/f.u.): 0.00
# Excess energy over the best structure of this formula in the dataset (kJ per mole of atoms): 0.0